Material: ZrAlTcIr2
Method: DFT, GGA-PBE
State: optimized geometry

Properties
Mass density, g/cm³: 9.2
Spin magnetization, μB/f.u.: 0.00
Formation energy from the elements, kJ/mol of formula units: 498
Uncorrected energy, eV/cell: -35.221
Fermi-level density of states, states/eV/atom: 0.9365

Lattice parameters (Å, degrees): 4.719 4.719 4.894 90.00 90.00 90.00
Space group P4/mmm (No. 123)
Asymmetric unit:
Zr (0.000, 0.000, 0.000)
Al (0.500, 0.500, 0.000)
Tc (0.000, 0.000, 0.500)
Ir (0.000, 0.500, 0.500)



Material: ZrAlTcIr
Method: DFT, GGA-PBE
State: optimized geometry

Properties
Mass density, g/cm³: 10.6
Spin magnetization, μB/f.u.: 0.00
Formation energy from the elements, kJ/mol of formula units: -246
Uncorrected energy, eV/cell: -136.270
Fermi-level density of states, states/eV/atom: 1.2385

Lattice parameters (Å, degrees): 6.351 6.351 6.351 90.00 90.00 90.00
Space group F-43m (No. 216)
Asymmetric unit:
Zr (0.000, 0.000, 0.000)
Al (0.000, 0.000, 0.500)
Tc (0.250, 0.250, 0.250)
Ir (0.250, 0.250, 0.750)



Material: ZrAlTcIr
Method: DFT, GGA-PBE
State: optimized geometry

Properties
Mass density, g/cm³: 10.6
Spin magnetization, μB/f.u.: 0.00
Formation energy from the elements, kJ/mol of formula units: -247
Uncorrected energy, eV/cell: -34.076
Fermi-level density of states, states/eV/atom: 0.9367

Lattice parameters (Å, degrees): 3.284 4.356 4.473 90.00 90.00 90.00
Space group Pmmm (No. 47)
Asymmetric unit:
Zr (0.000, 0.000, 0.000)
Al (0.000, 0.500, 0.500)
Tc (0.500, 0.500, 0.000)
Ir (0.500, 0.000, 0.500)



Material: AlTeIr2
Method: DFT, GGA-PBE
State: optimized geometry

Properties
Mass density, g/cm³: 12.5
Energy relative to the elements, uncorrected, meV per atom: 267
Spin magnetization, μB/f.u.: 0.00
Uncorrected energy, eV/cell: -70.619
Fermi-level density of states, states/eV/atom: 0.8692

Lattice parameters (Å, degrees): 3.1636 3.1636 24.7335 90.00 90.00 120.00
Space group R3m (No. 160, hexagonal axes)
Asymmetric unit:
Al (0.0000, 0.0000, 0.0000)
Te (0.0000, 0.0000, 0.2342)
Ir (0.0000, 0.0000, 0.4895)
Ir (0.0000, 0.0000, 0.7340)